YTl2GaI6 | PBE-GGA | relaxed

Computed properties:
For the density of states at the Fermi level, the calculation gives 0.000 states/eV/f.u.

abc: 8.5026 8.5026 21.7781
angles: 90.00 90.00 120.00
Space group R3 (No. 146, hexagonal axes)
One atom of each set of equivalent atoms:
Y 0.0000 0.0000 0.0000 (multiplicity 3)
Tl 0.0000 0.0000 0.3047 (multiplicity 3)
Tl 0.0000 0.0000 0.7963 (multiplicity 3)
Ga 0.0000 0.0000 0.5058 (multiplicity 3)
I 0.0114 0.4042 0.7442 (multiplicity 9)
I 0.0702 0.7102 0.5814 (multiplicity 9)

***

YTlGa2I6 | PBE-GGA | relaxed

Computed properties:
For the density of states at the Fermi level, the calculation gives 0.000 states/eV/f.u.

abc: 8.2353 8.2353 22.4920
angles: 90.00 90.00 120.00
Space group R3 (No. 146, hexagonal axes)
One atom of each set of equivalent atoms:
Y 0.0000 0.0000 0.0000 (multiplicity 3)
Tl 0.0000 0.0000 0.5090 (multiplicity 3)
Ga 0.0000 0.0000 0.3228 (multiplicity 3)
Ga 0.0000 0.0000 0.8148 (multiplicity 3)
I 0.0133 0.3171 0.0721 (multiplicity 9)
I 0.0243 0.7213 0.9143 (multiplicity 9)

***

Y2TlGaI | PBE-GGA | relaxed

Computed properties:
For the density of states at the Fermi level, the calculation gives 4.984 states/eV/f.u.

abc: 5.624 5.624 5.257
angles: 90.00 90.00 90.00
Space group P4/mmm (No. 123)
One atom of each set of equivalent atoms:
Y 0.000 0.500 0.000 (multiplicity 2)
Tl 0.000 0.000 0.500 (multiplicity 1)
Ga 0.000 0.000 0.000 (multiplicity 1)
I 0.500 0.500 0.500 (multiplicity 1)

***

ZrTlGaI2 | PBE-GGA | relaxed

Computed properties:
For the density of states at the Fermi level, the calculation gives 4.610 states/eV/f.u.

abc: 5.735 5.735 5.491
angles: 90.00 90.00 90.00
Space group P4/mmm (No. 123)
One atom of each set of equivalent atoms:
Zr 0.000 0.000 0.000 (multiplicity 1)
Tl 0.500 0.500 0.500 (multiplicity 1)
Ga 0.000 0.000 0.500 (multiplicity 1)
I 0.000 0.500 0.000 (multiplicity 2)

***

ZrTlGaI6 | PBE-GGA | relaxed

abc: 7.9894 7.9894 14.6580
angles: 90.00 90.00 120.00
Space group P-31c (No. 163)
One atom of each set of equivalent atoms:
Zr 0.3333 0.6667 0.2500 (multiplicity 2)
Tl 0.0000 0.0000 0.0000 (multiplicity 2)
Ga 0.3333 0.6667 0.7500 (multiplicity 2)
I 0.0310 0.3788 0.1365 (multiplicity 12)

***

ZrTlGa2I | PBE-GGA | relaxed

Computed properties:
For the density of states at the Fermi level, the calculation gives 6.369 states/eV/f.u.

abc: 5.615 5.615 6.051
angles: 90.00 90.00 90.00
Space group P4/mmm (No. 123)
One atom of each set of equivalent atoms:
Zr 0.000 0.000 0.000 (multiplicity 1)
Tl 0.500 0.500 0.000 (multiplicity 1)
Ga 0.000 0.500 0.500 (multiplicity 2)
I 0.500 0.500 0.500 (multiplicity 1)

***

TmGa2I8 | PBE-GGA | relaxed

Computed properties:
For the density of states at the Fermi level, the calculation gives 4.086 states/eV/f.u.

abc: 13.730 11.532 7.200
angles: 90.00 100.65 90.00
Space group C2/m (No. 12)
One atom of each set of equivalent atoms:
Tm 0.000 0.000 0.000 (multiplicity 2)
Ga 0.200 0.000 0.671 (multiplicity 4)
I 0.093 0.178 0.785 (multiplicity 8)
I 0.116 0.500 0.160 (multiplicity 4)
I 0.193 0.000 0.287 (multiplicity 4)

***

TmGa2I5 | PBE-GGA | relaxed

Computed properties:
For the density of states at the Fermi level, the calculation gives 0.000 states/eV/f.u.

abc: 15.702 8.165 11.437
angles: 90.00 112.80 90.00
Space group Cc (No. 9)
One atom of each set of equivalent atoms:
Tm 0.000 0.000 0.000 (multiplicity 4)
Ga 0.110 0.475 0.208 (multiplicity 4)
Ga 0.390 0.025 0.792 (multiplicity 4)
I 0.000 0.145 0.750 (multiplicity 4)
I 0.091 0.306 0.464 (multiplicity 4)
I 0.183 0.157 0.137 (multiplicity 4)
I 0.317 0.343 0.863 (multiplicity 4)
I 0.409 0.194 0.536 (multiplicity 4)

***

Number 1: raw total energy -3.2401 eV/atom. Number 2: raw total energy -3.2417 eV/atom. Number 3: raw total energy -4.0088 eV/atom. Number 4: raw total energy -3.4915 eV/atom. Number 5: raw total energy -3.3139 eV/atom. Number 6: raw total energy -2.6037 eV/atom. Number 7: raw total energy -2.8060 eV/atom. Number 8: raw total energy -3.1220 eV/atom.